This record from Alexandria describes a geometry-optimized Ba2PuSe3 structure. The functional is PBE-GGA.

Unit cell a=4.498 b=6.438 c=13.715 alpha=90.00 beta=90.00 gamma=90.00
Space group Immm (No. 71)
Asymmetric unit:
Ba (0.000, 0.000, 0.170) x4
Pu (0.000, 0.000, 0.500) x2
Se (0.000, 0.500, 0.147) x4
Se (0.000, 0.500, 0.500) x2

Results
The value obtained for the total DFT energy (no corrections) is -78.6 eV/cell. The value obtained for the total moment is 11.867 μB/cell.


This record from Alexandria describes a geometry-optimized Ba3Sm3PuSe8 structure. The functional is PBE-GGA.

Unit cell a=8.5996 b=8.5996 c=22.6071 alpha=90.00 beta=90.00 gamma=120.00
Space group R-3m (No. 166, hexagonal axes)
Asymmetric unit:
Ba (0.0000, 0.5000, 0.0000) x9
Sm (0.0000, 0.5000, 0.5000) x9
Pu (0.0000, 0.0000, 0.5000) x3
Se (0.0000, 0.0000, 0.2398) x6
Se (0.0025, 0.5013, 0.7613) x18

Results
The value obtained for the total DFT energy (no corrections) is -270.2 eV/cell. The value obtained for the total moment is 16.844 μB/cell.


This record from Alexandria describes a geometry-optimized Ba2PuSnSe5 structure. The functional is PBE-GGA.

Unit cell a=4.501 b=18.541 c=13.495 alpha=90.00 beta=90.00 gamma=90.00
Space group Cmc2_1 (No. 36)
Asymmetric unit:
Ba (0.000, 0.112, 0.000) x4
Ba (0.000, 0.138, 0.623) x4
Pu (0.000, 0.211, 0.329) x4
Sn (0.000, 0.469, 0.768) x4
Se (0.000, 0.055, 0.378) x4
Se (0.000, 0.286, 0.967) x4
Se (0.000, 0.320, 0.691) x4
Se (0.000, 0.366, 0.313) x4
Se (0.000, 0.491, 0.078) x4

Results
The value obtained for the total DFT energy (no corrections) is -209.2 eV/cell. The value obtained for the total moment is 19.854 μB/cell.